No. 1
A plane-wave DFT calculation with PBE was carried out for an optimized crystal structure of SrLi2Ag.

Calculated values
Fermi-level density of states ... 0.627 states/eV/atom
DFT formation energy ... 0.000 eV per atom

```
8
Lattice="-0.299 -2.262 3.962 -1.580 -3.674 -2.217 8.838 -6.425 -0.363" Properties=species:S:1:pos:R:3 pbc="T T T"
Li 5.934 -7.806 2.587
Li 4.975 -9.253 -0.950
Li 2.005 -2.120 -0.272
Li 1.005 -5.545 1.400
Ag 3.800 -5.828 2.236
Ag 0.000 0.000 0.000
Sr -0.939 -2.968 0.873
Sr 3.160 -6.534 -0.853
```


No. 2
A plane-wave DFT calculation with PBE was carried out for an optimized crystal structure of LaRe2Ni.

Calculated values
Fermi-level density of states ... 1.243 states/eV/atom
ΔE to the lowest computed polymorph ... 0.424 eV/atom
DFT formation energy ... 0.517 eV per atom

```
4
Lattice="4.615 -0.042 0.000 0.037 4.615 0.000 -2.326 -2.287 3.265" Properties=species:S:1:pos:R:3 pbc="T T T"
Re 0.000 0.000 0.000
Re 0.018 2.308 1.633
Ni 2.308 -0.021 1.633
La 2.326 2.287 0.000
```


No. 3
A plane-wave DFT calculation with PBE was carried out for an optimized crystal structure of LaTa5.

Calculated values
Fermi-level density of states ... 0.912 states/eV/atom
ΔE to the lowest computed polymorph ... 0.013 eV/atom
DFT formation energy ... 0.346 eV per atom

```
6
Lattice="-0.862 -3.023 4.647 -3.636 -4.272 -0.067 1.870 -5.281 0.298" Properties=species:S:1:pos:R:3 pbc="T T T"
La 0.000 0.000 0.000
Ta -0.657 -3.144 1.220
Ta 0.174 -5.724 3.082
Ta -1.642 -7.857 3.048
Ta -1.212 -6.348 0.728
Ta -2.576 -5.221 2.899
```


No. 4
A plane-wave DFT calculation with PBE was carried out for an optimized crystal structure of Ba2ZrTl.

Calculated values
Fermi-level density of states ... 1.153 states/eV/atom
ΔE to the lowest computed polymorph ... 0.200 eV/atom
DFT formation energy ... 0.334 eV per atom

```
4
Lattice="6.520 0.005 -0.006 2.591 5.983 0.006 -4.552 -2.999 3.577" Properties=species:S:1:pos:R:3 pbc="T T T"
Ba 9.109 5.987 0.000
Ba 4.556 2.994 0.000
Zr 1.297 2.989 1.791
Tl 3.261 0.000 1.786
```


No. 5
A plane-wave DFT calculation with PBE was carried out for an optimized crystal structure of NaPuSnO6.

Calculated values
Formation energy without anion corrections ... -1872.6 meV per atom

```
18
Lattice="-2.160 -4.873 -1.228 5.406 0.509 0.654 -1.028 -2.095 10.121" Properties=species:S:1:pos:R:3 pbc="T T T"
Pu 0.105 -3.603 1.930
Pu 2.114 -2.857 7.618
O 0.911 -5.247 2.810
O 1.447 -4.098 6.154
O 2.568 -1.521 9.080
O 0.772 -2.361 3.393
O -0.350 -4.939 0.468
O 1.308 -1.212 6.737
O -0.885 -2.090 1.003
O 3.104 -4.370 8.544
O 1.880 -3.108 1.073
O -1.696 -3.872 2.830
O 0.339 -3.351 8.474
O 3.915 -2.588 6.717
Na -0.514 -1.048 5.061
Na 0.000 0.000 0.000
Sn 2.627 -1.809 2.557
Sn -0.408 -4.650 6.990
```


No. 6
A plane-wave DFT calculation with PBE was carried out for an optimized crystal structure of Nd8Sm2Cd.

Calculated values
Fermi-level density of states ... 1.387 states/eV/atom
DFT formation energy ... -0.019 eV per atom

```
11
Lattice="-3.569 -2.659 2.555 5.767 -4.814 3.046 0.933 8.256 4.743" Properties=species:S:1:pos:R:3 pbc="T T T"
Nd -0.970 3.646 7.595
Nd -0.024 4.003 4.134
Nd 0.801 1.019 2.180
Nd 3.154 -3.220 6.210
Nd 2.505 3.010 6.632
Nd 4.101 -2.864 2.749
Nd 2.330 -0.237 8.163
Nd 0.626 -2.227 3.711
Sm 3.279 0.056 4.640
Sm -0.149 0.727 5.704
Cd -1.785 -1.330 1.277
```


No. 7
A plane-wave DFT calculation with PBE was carried out for an optimized crystal structure of CoSiAs3.

Calculated values
Fermi-level density of states ... 0.798 states/eV/atom
Formation energy without anion corrections ... 1110.2 meV per atom
ΔE to the lowest computed polymorph ... 0.485 eV/atom

```
5
Lattice="4.655 0.000 0.000 0.000 4.655 0.000 0.000 0.000 4.655" Properties=species:S:1:pos:R:3 pbc="T T T"
As 2.327 0.000 0.000
As 0.000 0.000 2.327
As 0.000 2.327 0.000
Co 2.327 2.327 2.327
Si 0.000 0.000 0.000
```